La2NpGe4Pt3 after structural relaxation. Source: Alexandria, functional PBE.

a b c (Å): 4.3557 4.3557 11.3850
angles (deg): 90.00 90.00 90.00
Last column: magnetic moment on the atom in μB.
Sites, in units of the cell vectors:
1 La 0.5000 0.0000 0.2310  0.03
2 La 0.0000 0.5000 0.7690  0.03
3 Np 0.5000 0.5000 0.5000  3.69
4 Ge 0.5000 0.5000 0.0000  0.00
5 Ge 0.0000 0.0000 0.0000  0.00
6 Ge 0.5000 0.0000 0.6663  -0.02
7 Ge 0.0000 0.5000 0.3337  -0.02
8 Pt 0.0000 0.0000 0.5000  -0.08
9 Pt 0.5000 0.0000 0.8852  0.01
10 Pt 0.0000 0.5000 0.1148  0.01

Summary:
Calculated total energy ... -6.6988 eV/atom
DOS at the Fermi energy ... 10.9 states/eV/f.u.
SG ... No. 115
ΔE_f ... -0.7600 eV per atom